Arrangement one

The following is a PBE-GGA calculation of a geometry-optimized SrTlCr3 structure, from the Alexandria database.

a = 5.315 Å, b = 5.315 Å, c = 5.315 Å
α = 90.00°, β = 90.00°, γ = 90.00°
Element x y z (fractional)
Sr: 0.000 0.000 0.000
Tl: 0.500 0.500 0.500
Cr: 0.000 0.500 0.500
Cr: 0.500 0.000 0.500
Cr: 0.500 0.500 0.000

Output
- Total magnetic moment: 13.4 μB/f.u.

Arrangement two

The following is a PBE-GGA calculation of a geometry-optimized SrTlCr3 structure, from the Alexandria database.

a = 5.886 Å, b = 5.886 Å, c = 5.886 Å
α = 90.00°, β = 90.00°, γ = 90.00°
Element x y z (fractional)
Sr: 0.000 0.000 0.000
Tl: 0.500 0.500 0.500
Cr: 0.000 0.000 0.500
Cr: 0.000 0.500 0.000
Cr: 0.500 0.000 0.000

Output
- Total magnetic moment: 15.2 μB/f.u.

Which structure is most stable? arrangement one, by 885 meV/atom over the runner-up.

Arrangement one

The following is a PBE-GGA calculation of a geometry-optimized SrVCr3 structure, from the Alexandria database.

a = 4.701 Å, b = 4.701 Å, c = 4.701 Å
α = 90.00°, β = 90.00°, γ = 90.00°
Element x y z (fractional)
Sr: 0.000 0.000 0.000
V: 0.500 0.500 0.500
Cr: 0.000 0.500 0.500
Cr: 0.500 0.000 0.500
Cr: 0.500 0.500 0.000

Output
- Total magnetic moment: 8.0 μB/f.u.

Arrangement two

The following is a PBE-GGA calculation of a geometry-optimized SrVCr3 structure, from the Alexandria database.

a = 4.925 Å, b = 4.925 Å, c = 4.925 Å
α = 90.00°, β = 90.00°, γ = 90.00°
Element x y z (fractional)
Sr: 0.000 0.000 0.000
V: 0.500 0.500 0.500
Cr: 0.000 0.000 0.500
Cr: 0.000 0.500 0.000
Cr: 0.500 0.000 0.000

Output
- Total magnetic moment: 13.8 μB/f.u.

Which structure is most stable? arrangement one, by 1738 meV/atom over the runner-up.

Arrangement one

The following is a PBE-GGA calculation of a geometry-optimized SrV2Cr structure, from the Alexandria database.

a = 8.852 Å, b = 8.852 Å, c = 8.852 Å
α = 146.82°, β = 146.82°, γ = 47.63°
Element x y z (fractional)
Sr: 0.375 0.625 0.750
Sr: 0.625 0.375 0.250
V: 0.000 0.000 0.000
V: 0.000 0.000 0.500
V: 0.000 0.500 0.000
V: 0.500 0.000 0.500
Cr: 0.125 0.875 0.250
Cr: 0.875 0.125 0.750

Output
- Total magnetic moment: 2.4 μB/f.u.

Arrangement two

The following is a PBE-GGA calculation of a geometry-optimized SrV2Cr structure, from the Alexandria database.

a = 4.801 Å, b = 4.801 Å, c = 4.801 Å
α = 60.00°, β = 60.00°, γ = 60.00°
Element x y z (fractional)
Sr: 0.000 0.000 0.000
V: 0.250 0.250 0.250
V: 0.750 0.750 0.750
Cr: 0.500 0.500 0.500

Output
- Total magnetic moment: 3.0 μB/f.u.

Which structure is most stable? arrangement two, by 175 meV/atom over the runner-up.